(1)
## Rb2LaTlBr6 (PBE)

Data for Rb2LaTlBr6 after structural relaxation.

Values from the calculation:
- size of the total moment (μB/atom) = 0.00
- symmetry = P2_1/c, No. 14
- E above lowest polymorph (meV/atom) = 0.0

Cell lengths 8.165, 8.719, 11.771 Å; angles 90.00, 88.80, 90.00 degrees
Atoms (fractional coordinates):
Br: 0.827 0.783 0.931
Br: 0.673 0.283 0.569
Br: 0.125 0.452 0.765
Br: 0.792 0.818 0.557
Br: 0.875 0.548 0.235
Br: 0.208 0.182 0.443
Br: 0.292 0.682 0.057
Br: 0.625 0.048 0.265
Br: 0.327 0.717 0.431
Br: 0.708 0.318 0.943
Br: 0.375 0.952 0.735
Br: 0.173 0.217 0.069
Tl: 0.500 0.000 0.000
Tl: 0.000 0.500 0.500
Rb: 0.470 0.422 0.246
Rb: 0.530 0.578 0.754
Rb: 0.970 0.078 0.746
Rb: 0.030 0.922 0.254
La: 0.000 0.500 0.000
La: 0.500 0.000 0.500

(2)
## Na2GeOsO6 (PBE)

Data for Na2GeOsO6 after structural relaxation.

Values from the calculation:
- E_tot (eV per atom) = -6.094
- size of the total moment (μB/atom) = 0.18
- symmetry = P4mm, No. 99

Cell lengths 4.941, 5.147, 5.147 Å; angles 90.00, 90.00, 90.00 degrees
Each line ends with the local moment (μB).
Atoms (fractional coordinates):
Na: 0.042 0.500 0.000  0.00
Na: 0.042 0.000 0.500  0.00
O: 0.692 0.247 0.247  0.06
O: 0.692 0.753 0.247  0.06
O: 0.692 0.753 0.753  0.06
O: 0.210 0.000 0.000  0.05
O: 0.692 0.247 0.753  0.06
O: 0.232 0.500 0.500  0.21
Ge: 0.559 0.000 0.000  0.06
Os: 0.596 0.500 0.500  1.09

(3)
## MnCrCl3 (PBE)

Data for MnCrCl3 after structural relaxation.

Values from the calculation:
- size of the total moment (μB/atom) = 2.00
- symmetry = Pm-3m, No. 221
- E above lowest polymorph (meV/atom) = 0.0

Cell lengths 4.954, 4.954, 4.954 Å; angles 90.00, 90.00, 90.00 degrees
Each line ends with the local moment (μB).
Atoms (fractional coordinates):
Cr: 0.500 0.500 0.500  4.42
Mn: 0.000 0.000 0.000  4.43
Cl: 0.500 0.000 0.000  0.09
Cl: 0.000 0.500 0.000  0.08
Cl: 0.000 0.000 0.500  0.03

(4)
## Ti6Al3C (PBE)

Data for Ti6Al3C after structural relaxation.

Values from the calculation:
- size of the total moment (μB/atom) = 0.00
- symmetry = C2/m, No. 12
- calculated formation energy (eV/atom) = -0.227

Cell lengths 6.225, 5.570, 5.570 Å; angles 61.03, 79.25, 79.25 degrees
Atoms (fractional coordinates):
Ti: 0.634 0.864 0.367
Ti: 0.366 0.136 0.633
Ti: 0.817 0.347 0.347
Ti: 0.366 0.633 0.136
Ti: 0.183 0.653 0.653
Ti: 0.634 0.367 0.864
Al: 0.000 0.000 0.000
Al: 0.746 0.834 0.834
Al: 0.254 0.166 0.166
C: 0.500 0.500 0.500

(5)
## CeTmMgOs (PBE)

Data for CeTmMgOs after structural relaxation.

Values from the calculation:
- size of the total moment (μB/atom) = 0.00
- symmetry = F-43m, No. 216
- calculated formation energy (eV/atom) = -0.102

Cell lengths 5.000, 5.000, 5.000 Å; angles 60.00, 60.00, 60.00 degrees
Atoms (fractional coordinates):
Os: 0.500 0.500 0.500
Ce: 0.250 0.250 0.250
Tm: 0.750 0.750 0.750
Mg: 0.000 0.000 0.000

(6)
## BaBeZnN2 (PBE)

Data for BaBeZnN2 after structural relaxation.

Values from the calculation:
- E_tot (eV per atom) = -5.151
- size of the total moment (μB/atom) = 0.00
- symmetry = P2/c, No. 13

Cell lengths 4.411, 5.956, 5.997 Å; angles 103.94, 90.00, 90.00 degrees
Atoms (fractional coordinates):
Be: 0.000 0.000 0.500
Be: 0.000 0.000 0.000
Zn: 0.478 0.000 0.250
Zn: 0.522 0.000 0.750
Ba: 0.243 0.500 0.750
Ba: 0.757 0.500 0.250
N: 0.748 0.189 0.540
N: 0.252 0.189 0.040
N: 0.748 0.811 0.960
N: 0.252 0.811 0.460

(7)
## SrPm3Y2Se6 (PBE)

Data for SrPm3Y2Se6 after structural relaxation.

Values from the calculation:
- E_tot (eV per atom) = -5.977
- size of the total moment (μB/atom) = 0.00
- symmetry = C2/m, No. 12

Cell lengths 4.168, 8.453, 9.374 Å; angles 103.26, 102.85, 90.00 degrees
Atoms (fractional coordinates):
Se: 0.330 0.910 0.660
Se: 0.005 0.257 0.010
Se: 0.668 0.576 0.336
Se: 0.995 0.743 0.990
Se: 0.670 0.090 0.340
Se: 0.332 0.424 0.664
Sr: 0.500 0.000 0.000
Pm: 0.500 0.500 0.000
Pm: 0.164 0.824 0.328
Pm: 0.836 0.176 0.672
Y: 0.169 0.340 0.338
Y: 0.831 0.660 0.662

(8)
## Mg2NpInO6 (PBE)

Data for Mg2NpInO6 after structural relaxation.

Values from the calculation:
- E_tot (eV per atom) = -7.313
- size of the total moment (μB/atom) = 0.20
- symmetry = R3, No. 146

Cell lengths 5.433, 5.433, 5.800 Å; angles 62.07, 62.07, 60.00 degrees
Each line ends with the local moment (μB).
Atoms (fractional coordinates):
Np: 0.316 0.316 0.053  2.22
O: 0.615 0.224 0.251  -0.04
O: 0.910 0.615 0.251  -0.04
O: 0.224 0.910 0.251  -0.04
O: 0.718 0.121 0.758  -0.04
O: 0.403 0.718 0.758  -0.04
O: 0.121 0.403 0.758  -0.04
Mg: 0.019 0.019 0.943  0.00
Mg: 0.524 0.524 0.427  0.00
In: 0.811 0.811 0.566  0.01

(9)
## SrGaIr2 (PBE)

Data for SrGaIr2 after structural relaxation.

Values from the calculation:
- size of the total moment (μB/atom) = 0.00
- symmetry = I4_1/amd, No. 141
- calculated formation energy (eV/atom) = -0.091

Cell lengths 4.918, 4.918, 9.204 Å; angles 74.50, 74.50, 90.00 degrees
Atoms (fractional coordinates):
Sr: 0.000 0.000 0.000
Sr: 0.750 0.250 0.500
Ir: 0.875 0.625 0.750
Ir: 0.375 0.625 0.250
Ir: 0.375 0.625 0.750
Ir: 0.375 0.125 0.250
Ga: 0.250 0.750 0.500
Ga: 0.500 0.500 0.000

(10)
## KCaSbTe2 (PBE)

Data for KCaSbTe2 after structural relaxation.

Values from the calculation:
- size of the total moment (μB/atom) = 0.00
- symmetry = P4/mmm, No. 123
- E above lowest polymorph (meV/atom) = 630.3

Cell lengths 5.969, 5.969, 5.685 Å; angles 90.00, 90.00, 90.00 degrees
Atoms (fractional coordinates):
Sb: 0.000 0.000 0.500
K: 0.000 0.000 0.000
Ca: 0.500 0.500 0.500
Te: 0.500 0.000 0.000
Te: 0.000 0.500 0.000

(11)
## Mn2AlSeN (PBE)

Data for Mn2AlSeN after structural relaxation.

Values from the calculation:
- E_tot (eV per atom) = -6.667
- size of the total moment (μB/atom) = 1.07
- symmetry = P4/mmm, No. 123

Cell lengths 3.693, 6.119, 3.693 Å; angles 90.00, 90.00, 90.00 degrees
Each line ends with the local moment (μB).
Atoms (fractional coordinates):
Se: 0.000 0.500 0.000  0.01
Mn: 0.000 0.000 0.500  2.80
Mn: 0.500 0.000 0.000  2.55
N: 0.000 0.000 0.000  -0.21
Al: 0.500 0.500 0.500  -0.01

(12)
## Ba2PaCl8 (PBE)

Data for Ba2PaCl8 after structural relaxation.

Values from the calculation:
- E_tot (eV per atom) = -4.743
- size of the total moment (μB/atom) = 0.09
- symmetry = C2/m, No. 12

Cell lengths 4.874, 6.663, 10.580 Å; angles 102.83, 103.32, 90.00 degrees
Each line ends with the local moment (μB).
Atoms (fractional coordinates):
Cl: 0.585 0.382 0.170  -0.01
Cl: 0.233 0.274 0.467  0.00
Cl: 0.981 0.211 0.961  -0.01
Cl: 0.415 0.618 0.830  -0.01
Cl: 0.767 0.726 0.533  0.00
Cl: 0.019 0.789 0.039  -0.01
Cl: 0.625 0.929 0.250  -0.01
Cl: 0.375 0.071 0.750  -0.01
Ba: 0.832 0.338 0.664  0.00
Ba: 0.168 0.662 0.336  0.00
Pa: 0.500 0.000 0.000  1.03